! GGA-PBE NaSm5, relaxed; values from VASP
! Spin magnetization = 0.026 μB/atom
! Calculated volume = 38.132 Å³/atom
! VASP energy = -22.12 eV per formula unit
&SYSTEM
  ibrav = 0, nat = 6, ntyp = 2
/
ATOMIC_SPECIES
Na 22.99 Na.upf
Sm 150.36 Sm.upf
CELL_PARAMETERS angstrom
6.7414 0.0000 0.0000
-3.3707 5.8382 0.0000
0.0000 0.0000 5.8131
ATOMIC_POSITIONS angstrom
Na 0.0000 0.0000 0.0000
Sm -1.6853 2.9191 2.9066
Sm 0.0000 3.8921 0.0000
Sm 3.3707 0.0000 2.9066
Sm 1.6853 2.9191 2.9066
Sm 3.3707 1.9461 0.0000


! GGA-PBE NaSmSn, relaxed; values from VASP
! Spin magnetization = 0.001 μB/atom
! Calculated volume = 33.093 Å³/atom
! VASP energy = -11.02 eV per formula unit
&SYSTEM
  ibrav = 0, nat = 3, ntyp = 3
/
ATOMIC_SPECIES
Na 22.99 Na.upf
Sm 150.36 Sm.upf
Sn 118.71 Sn.upf
CELL_PARAMETERS angstrom
0.0000 3.6751 3.6751
3.6751 0.0000 3.6751
3.6751 3.6751 0.0000
ATOMIC_POSITIONS angstrom
Na 0.0000 0.0000 0.0000
Sm 3.6751 3.6751 3.6751
Sn 5.5127 5.5127 5.5127


! GGA-PBE NaSmSn, relaxed; values from VASP
! Spin magnetization = 0.000 μB/atom
! Calculated volume = 32.920 Å³/atom
! VASP energy = -10.07 eV per formula unit
&SYSTEM
  ibrav = 0, nat = 3, ntyp = 3
/
ATOMIC_SPECIES
Na 22.99 Na.upf
Sm 150.36 Sm.upf
Sn 118.71 Sn.upf
CELL_PARAMETERS angstrom
0.0000 3.6688 3.6688
3.6688 0.0000 3.6688
3.6688 3.6688 0.0000
ATOMIC_POSITIONS angstrom
Na 0.0000 0.0000 0.0000
Sm 1.8344 1.8344 1.8344
Sn 3.6688 3.6688 3.6688


! GGA-PBE NaSmSnTe3, relaxed; values from VASP
! Spin magnetization = 0.000 μB/atom
! Calculated volume = 33.733 Å³/atom
! VASP energy = -23.90 eV per formula unit
&SYSTEM
  ibrav = 0, nat = 12, ntyp = 4
/
ATOMIC_SPECIES
Na 22.99 Na.upf
Sm 150.36 Sm.upf
Sn 118.71 Sn.upf
Te 127.60 Te.upf
CELL_PARAMETERS angstrom
2.3236 -7.5601 0.0000
2.3236 7.5601 0.0000
0.0000 0.0000 11.5216
ATOMIC_POSITIONS angstrom
Na 2.3236 4.0873 8.6412
Na 2.3236 -4.0873 2.8804
Sm 0.0000 0.0000 0.0000
Sm 0.0000 0.0000 5.7608
Sn 2.3236 0.2174 2.8804
Sn 2.3236 -0.2174 8.6412
Te 2.3236 5.8149 2.8804
Te 2.3236 2.1449 0.5815
Te 2.3236 2.1449 5.1793
Te 2.3236 -2.1449 6.3423
Te 2.3236 -2.1449 10.9401
Te 2.3236 -5.8149 8.6412


! GGA-PBE NaSrSm, relaxed; values from VASP
! Spin magnetization = 0.216 μB/atom
! Calculated volume = 44.177 Å³/atom
! Relative energy among the computed polymorphs = 0 meV/atom
&SYSTEM
  ibrav = 0, nat = 3, ntyp = 3
/
ATOMIC_SPECIES
Na 22.99 Na.upf
Sr 87.62 Sr.upf
Sm 150.36 Sm.upf
CELL_PARAMETERS angstrom
0.0000 4.0466 4.0466
4.0466 0.0000 4.0466
4.0466 4.0466 0.0000
ATOMIC_POSITIONS angstrom
Na 0.0000 0.0000 0.0000
Sr 2.0233 2.0233 2.0233
Sm 6.0700 6.0700 6.0700


! GGA-PBE NaSrSmTe3, relaxed; values from VASP
! Spin magnetization = 0.000 μB/atom
! Calculated volume = 33.432 Å³/atom
! Relative energy among the computed polymorphs = 84 meV/atom
&SYSTEM
  ibrav = 0, nat = 24, ntyp = 4
/
ATOMIC_SPECIES
Na 22.99 Na.upf
Sr 87.62 Sr.upf
Sm 150.36 Sm.upf
Te 127.60 Te.upf
CELL_PARAMETERS angstrom
11.6943 0.0000 0.0000
0.0000 4.5936 0.0000
0.0000 0.0000 14.9364
ATOMIC_POSITIONS angstrom
Na 2.7481 1.1484 3.4607
Na 3.0991 3.4452 10.9289
Na 8.5952 1.1484 4.0075
Na 8.9463 3.4452 11.4757
Sr 2.6719 3.4452 0.1128
Sr 3.1752 1.1484 7.5810
Sr 8.5191 3.4452 7.3554
Sr 9.0224 1.1484 14.8236
Sm 0.1888 1.1484 11.1234
Sm 5.6584 3.4452 3.6552
Sm 6.0360 1.1484 11.2812
Sm 11.5055 3.4452 3.8130
Te 0.4567 1.1484 1.6501
Te 0.8518 3.4452 9.0511
Te 2.7731 3.4452 5.1984
Te 3.0741 1.1484 12.6665
Te 4.9954 1.1484 1.5829
Te 5.3905 3.4452 9.1183
Te 6.3038 1.1484 5.8181
Te 6.6989 3.4452 13.3535
Te 8.6202 3.4452 2.2698
Te 8.9212 1.1484 9.7380
Te 10.8426 1.1484 5.8853
Te 11.2376 3.4452 13.2863


! GGA-PBE NaSrSmTe3, relaxed; values from VASP
! Spin magnetization = 0.000 μB/atom
! Calculated volume = 33.387 Å³/atom
! Relative energy among the computed polymorphs = 86 meV/atom
&SYSTEM
  ibrav = 0, nat = 12, ntyp = 4
/
ATOMIC_SPECIES
Na 22.99 Na.upf
Sr 87.62 Sr.upf
Sm 150.36 Sm.upf
Te 127.60 Te.upf
CELL_PARAMETERS angstrom
2.3005 -7.4704 0.0000
2.3005 7.4704 0.0000
0.0000 0.0000 11.6563
ATOMIC_POSITIONS angstrom
Na 2.3005 7.1581 8.7422
Na 2.3005 -7.1581 2.9141
Sr 2.3005 3.6364 2.9141
Sr 2.3005 -3.6364 8.7422
Sm 2.3005 0.0000 0.0000
Sm 2.3005 0.0000 5.8282
Te 2.3005 5.3402 6.4593
Te 2.3005 5.3402 11.0252
Te 2.3005 1.4319 8.7422
Te 2.3005 -1.4319 2.9141
Te 2.3005 -5.3402 0.6311
Te 2.3005 -5.3402 5.1970


! GGA-PBE NaSrSmTe3, relaxed; values from VASP
! Spin magnetization = 0.000 μB/atom
! Calculated volume = 34.138 Å³/atom
! Relative energy among the computed polymorphs = 0 meV/atom
&SYSTEM
  ibrav = 0, nat = 12, ntyp = 4
/
ATOMIC_SPECIES
Na 22.99 Na.upf
Sr 87.62 Sr.upf
Sm 150.36 Sm.upf
Te 127.60 Te.upf
CELL_PARAMETERS angstrom
9.6999 -2.2432 0.0000
9.6999 2.2432 0.0000
-2.4722 0.0000 9.4135
ATOMIC_POSITIONS angstrom
Na -0.3541 0.0000 1.9290
Na 17.2818 0.0000 7.4845
Sr 6.0237 0.0000 4.0705
Sr 10.9040 0.0000 5.3430
Sm 4.2110 0.0000 8.5718
Sm 12.7167 0.0000 0.8417
Te -1.2361 0.0000 4.7067
Te 1.1191 0.0000 8.0702
Te 2.7169 0.0000 3.0514
Te 9.6999 0.0000 0.0000
Te 14.2108 0.0000 6.3621
Te 15.8086 0.0000 1.3433


! GGA-PBE NaTbSm, relaxed; values from VASP
! Spin magnetization = 0.638 μB/atom
! Calculated volume = 36.148 Å³/atom
! Relative energy among the computed polymorphs = 0 meV/atom
&SYSTEM
  ibrav = 0, nat = 3, ntyp = 3
/
ATOMIC_SPECIES
Na 22.99 Na.upf
Tb 158.93 Tb.upf
Sm 150.36 Sm.upf
CELL_PARAMETERS angstrom
0.0000 3.7849 3.7849
3.7849 0.0000 3.7849
3.7849 3.7849 0.0000
ATOMIC_POSITIONS angstrom
Na 0.0000 0.0000 0.0000
Tb 1.8925 1.8925 1.8925
Sm 5.6774 5.6774 5.6774


! GGA-PBE NaSmTc, relaxed; values from VASP
! Spin magnetization = 0.377 μB/atom
! Calculated volume = 26.390 Å³/atom
! Relative energy among the computed polymorphs = 18 meV/atom
&SYSTEM
  ibrav = 0, nat = 3, ntyp = 3
/
ATOMIC_SPECIES
Na 22.99 Na.upf
Sm 150.36 Sm.upf
Tc 98.00 Tc.upf
CELL_PARAMETERS angstrom
0.0000 3.4081 3.4081
3.4081 0.0000 3.4081
3.4081 3.4081 0.0000
ATOMIC_POSITIONS angstrom
Na 0.0000 0.0000 0.0000
Sm 1.7041 1.7041 1.7041
Tc 3.4081 3.4081 3.4081


! GGA-PBE NaSmTc, relaxed; values from VASP
! Spin magnetization = 0.475 μB/atom
! Calculated volume = 24.928 Å³/atom
! Relative energy among the computed polymorphs = 0 meV/atom
&SYSTEM
  ibrav = 0, nat = 3, ntyp = 3
/
ATOMIC_SPECIES
Na 22.99 Na.upf
Sm 150.36 Sm.upf
Tc 98.00 Tc.upf
CELL_PARAMETERS angstrom
0.0000 3.3439 3.3439
3.3439 0.0000 3.3439
3.3439 3.3439 0.0000
ATOMIC_POSITIONS angstrom
Na 0.0000 0.0000 0.0000
Sm 5.0159 5.0159 5.0159
Tc 1.6720 1.6720 1.6720


! GGA-PBE NaSmTe, relaxed; values from VASP
! Spin magnetization = 0.002 μB/atom
! Calculated volume = 33.439 Å³/atom
! Relative energy among the computed polymorphs = 188 meV/atom
&SYSTEM
  ibrav = 0, nat = 3, ntyp = 3
/
ATOMIC_SPECIES
Na 22.99 Na.upf
Sm 150.36 Sm.upf
Te 127.60 Te.upf
CELL_PARAMETERS angstrom
0.0000 3.6879 3.6879
3.6879 0.0000 3.6879
3.6879 3.6879 0.0000
ATOMIC_POSITIONS angstrom
Na 0.0000 0.0000 0.0000
Sm 1.8440 1.8440 1.8440
Te 3.6879 3.6879 3.6879